No. 1
This record from Alexandria describes a relaxed RbSm3Te4 crystal. The functional is PBE-GGA.

The structure in POSCAR format:
```
RbSm3Te4
1.0
4.516 0.000 0.000
-2.258 3.911 0.000
0.000 0.000 31.592
Rb Sm Te
2 6 8
direct
0.333 0.667 0.250
0.667 0.333 0.750
0.000 0.000 0.000
0.000 0.000 0.500
0.333 0.667 0.613
0.333 0.667 0.887
0.667 0.333 0.113
0.667 0.333 0.387
0.000 0.000 0.169
0.000 0.000 0.331
0.000 0.000 0.669
0.000 0.000 0.831
0.333 0.667 0.056
0.333 0.667 0.444
0.667 0.333 0.556
0.667 0.333 0.944
```

Summary:
Energy relative to the elements, uncorrected = -1392 meV per atom
E_tot = -77.652 eV per cell

***

No. 2
This record from Alexandria describes a relaxed LiPm4Ir2 crystal. The functional is PBE-GGA.

The structure in POSCAR format:
```
LiPm4Ir2
1.0
2.498 1.442 8.118
-2.498 1.442 8.118
0.000 -2.885 8.118
Li Pm Ir
1 4 2
direct
0.000 0.000 0.000
0.128 0.128 0.128
0.379 0.379 0.379
0.621 0.621 0.621
0.872 0.872 0.872
0.252 0.252 0.252
0.748 0.748 0.748
```

Summary:
Polymorph energy (0 for the lowest one) = 0 meV per atom
Formation enthalpy at 0 K = -490 meV per atom
E_tot = -42.068 eV per cell